No. 1
Below is a geometry-optimized Rb2LaMnBr6 structure, with properties calculated at the PBE level.

a = 7.720 Å, b = 7.720 Å, c = 7.720 Å
α = 60.00°, β = 60.00°, γ = 60.00°
Positions (direct):
Rb: 0.250 0.250 0.250
Rb: 0.750 0.750 0.750
La: 0.000 0.000 0.000
Mn: 0.500 0.500 0.500
Br: 0.268 0.268 0.732
Br: 0.268 0.732 0.268
Br: 0.268 0.732 0.732
Br: 0.732 0.268 0.268
Br: 0.732 0.268 0.732
Br: 0.732 0.732 0.268

Properties
The calculated density is 4309 kg/m3. As for the raw formation energy: -1.2499 eV/atom. The total magnetic moment is 0.0 μB/f.u. As for the energy: -3.857 eV/atom.



No. 2
Below is a geometry-optimized LaMn2RuBr structure, with properties calculated at the PBE level.

a = 4.915 Å, b = 4.915 Å, c = 5.428 Å
α = 90.00°, β = 90.00°, γ = 90.00°
Positions (direct):
La: 0.000 0.000 0.000
Mn: 0.000 0.500 0.500
Mn: 0.500 0.000 0.500
Ru: 0.000 0.000 0.500
Br: 0.500 0.500 0.000

Properties
The calculated density is 5443 kg/m3. As for the raw formation energy: 0.1789 eV/atom. The total magnetic moment is 9.2 μB/f.u. As for the energy: -6.664 eV/atom.



No. 3
Below is a geometry-optimized La2MnRuBr structure, with properties calculated at the PBE level.

a = 5.599 Å, b = 5.599 Å, c = 4.403 Å
α = 90.00°, β = 90.00°, γ = 90.00°
Positions (direct):
La: 0.000 0.500 0.000
La: 0.500 0.000 0.000
Mn: 0.000 0.000 0.500
Ru: 0.500 0.500 0.500
Br: 0.000 0.000 0.000

Properties
The calculated density is 6180 kg/m3. As for the raw formation energy: 0.4328 eV/atom. The total magnetic moment is 3.2 μB/f.u. As for the energy: -5.562 eV/atom.



No. 4
Below is a geometry-optimized LaMnTeBr2 structure, with properties calculated at the PBE level.

a = 4.814 Å, b = 4.814 Å, c = 6.821 Å
α = 90.00°, β = 90.00°, γ = 90.00°
Positions (direct):
La: 0.000 0.000 0.000
Mn: 0.000 0.000 0.500
Te: 0.500 0.500 0.000
Br: 0.000 0.500 0.500
Br: 0.500 0.000 0.500

Properties
The calculated density is 5056 kg/m3. As for the raw formation energy: -0.6504 eV/atom. The total magnetic moment is 3.7 μB/f.u. As for the energy: -4.767 eV/atom.